Record 1
A plane-wave DFT calculation with meta-GGA SCAN was carried out for a PBEsol-optimized structure of CaTl4Te.

```
CaTl4Te
1.0
0.000 4.454 4.454
4.454 0.000 4.454
4.454 4.454 0.000
Ca Tl Te
1 4 1
Direct
0.000 0.000 0.000
0.125 0.625 0.625
0.625 0.125 0.625
0.625 0.625 0.125
0.625 0.625 0.625
0.250 0.250 0.250
```

Computed properties:
V = 29.44 Å³ per atom
Formation energy (no corrections) = -0.13 eV per atom
Fermi-level density of states = 4.61 states/eV/cell

---

Record 2
A plane-wave DFT calculation with meta-GGA SCAN was carried out for a PBEsol-optimized structure of CdCuAg.

```
CdCuAg
1.0
2.955 0.000 0.000
0.000 2.955 0.000
0.000 0.000 10.872
Cd Cu Ag
2 2 2
Direct
0.000 0.000 0.000
0.500 0.500 0.500
0.000 0.000 0.339
0.500 0.500 0.839
0.000 0.000 0.688
0.500 0.500 0.188
```

Computed properties:
V = 15.83 Å³ per atom
Calculated formation energy = 0.050 eV per atom
Fermi-level density of states = 1.56 states/eV/cell

---

Record 3
A plane-wave DFT calculation with meta-GGA SCAN was carried out for a PBEsol-optimized structure of SrSn2Pb2.

```
SrSn2Pb2
1.0
4.804 0.000 0.000
0.000 4.804 0.000
0.000 0.000 14.097
Sr Sn Pb
2 4 4
Direct
0.000 0.000 0.000
0.500 0.500 0.500
0.000 0.000 0.399
0.000 0.000 0.601
0.500 0.500 0.101
0.500 0.500 0.899
0.000 0.500 0.250
0.000 0.500 0.750
0.500 0.000 0.250
0.500 0.000 0.750
```

Computed properties:
Polymorph energy (0 for the lowest one) = 0.000 eV per atom
V = 32.53 Å³ per atom
Calculated formation energy = -0.287 eV per atom
Fermi-level density of states = 3.00 states/eV/cell

---

Record 4
A plane-wave DFT calculation with meta-GGA SCAN was carried out for a PBEsol-optimized structure of LiReNi2.

```
LiReNi2
1.0
2.521 0.000 0.000
0.000 4.199 0.000
0.000 0.000 4.425
Li Re Ni
1 1 2
Direct
0.000 0.000 0.000
0.000 0.500 0.620
0.500 0.000 0.480
0.500 0.500 0.114
```

Computed properties:
Polymorph energy (0 for the lowest one) = 0.000 eV per atom
V = 11.71 Å³ per atom
Calculated formation energy = 0.009 eV per atom
Fermi-level density of states = 2.53 states/eV/cell